P.
DFT (PBE) results for a relaxed Ba6In2Ag crystal.

abc: 10.270 10.270 10.270
angles: 70.42 70.28 109.12
Element x y z (fractional)
Ba 0.668 0.383 0.284
Ba 0.834 0.756 0.410
Ba 0.166 0.756 0.077
In 0.122 0.622 0.500
Ba 0.528 0.736 0.209
Ba 0.055 0.264 0.209
In 0.878 0.378 0.500
In 0.366 0.000 0.634
Ag 0.500 0.500 0.000
Ag 0.000 0.000 0.000
Ba 0.166 0.244 0.590
Ba 0.945 0.736 0.791
Ba 0.668 0.952 0.716
In 0.634 0.000 0.366
Ba 0.472 0.264 0.791
Ba 0.834 0.244 0.923
Ba 0.332 0.617 0.716
Ba 0.332 0.048 0.284

The crystal system is orthorhombic. Its space-group type is No. 71.

***

Q.
DFT (PBE) results for a relaxed Ba6In2Ag crystal.

abc: 7.999 9.384 11.922
angles: 90.00 88.70 90.00
Element x y z (fractional)
In 0.453 0.113 0.246
Ba 0.833 0.676 0.564
Ba 0.167 0.324 0.436
In 0.047 0.613 0.254
Ag 0.500 0.500 0.000
Ba 0.372 0.537 0.740
Ba 0.155 0.323 0.069
Ba 0.333 0.824 0.064
Ba 0.872 0.963 0.240
In 0.953 0.387 0.746
Ba 0.667 0.176 0.936
Ba 0.128 0.037 0.760
In 0.547 0.887 0.754
Ag 0.000 0.000 0.500
Ba 0.655 0.177 0.569
Ba 0.845 0.677 0.931
Ba 0.345 0.823 0.431
Ba 0.628 0.463 0.260

The crystal system is monoclinic. Its space-group type is No. 14.

***

Which structure wins on stability? Q wins.

***

P.
DFT (PBE) results for a relaxed Ba3InAg crystal.

abc: 6.022 6.017 12.120
angles: 90.00 75.62 90.00
Element x y z (fractional)
Ba 0.075 0.750 0.498
Ba 0.573 0.250 0.502
Ag 0.664 0.750 0.321
Ba 0.248 0.750 0.151
Ba 0.400 0.250 0.849
Ba 0.745 0.250 0.158
Ag 0.984 0.250 0.679
Ba 0.903 0.750 0.842
In 0.167 0.250 0.315
In 0.482 0.750 0.685

The crystal system is orthorhombic. Its space-group type is No. 63.

***

Q.
DFT (PBE) results for a relaxed Ba3InAg crystal.

abc: 6.355 6.355 6.355
angles: 90.00 90.00 90.00
Element x y z (fractional)
Ba 0.000 0.000 0.500
In 0.500 0.500 0.500
Ba 0.000 0.500 0.000
Ba 0.500 0.000 0.000
Ag 0.000 0.000 0.000

The crystal system is cubic. Its space-group type is No. 221.

***

R.
DFT (PBE) results for a relaxed Ba3InAg crystal.

abc: 10.640 9.232 9.232
angles: 84.16 81.55 81.55
Element x y z (fractional)
In 0.750 0.140 0.860
In 0.250 0.860 0.140
Ag 0.118 0.201 0.154
Ba 0.934 0.304 0.483
Ba 0.407 0.181 0.937
Ba 0.066 0.696 0.517
Ba 0.168 0.582 0.959
Ba 0.668 0.959 0.582
In 0.250 0.363 0.637
Ba 0.332 0.041 0.418
Ba 0.593 0.819 0.063
Ag 0.618 0.154 0.201
Ba 0.093 0.063 0.819
Ag 0.882 0.799 0.846
Ba 0.434 0.483 0.304
Ag 0.382 0.846 0.799
Ba 0.832 0.418 0.041
Ba 0.907 0.937 0.181
In 0.750 0.637 0.363
Ba 0.566 0.517 0.696

The crystal system is monoclinic. Its space-group type is No. 15.

***

Which structure wins on stability? P wins.

***

P.
DFT (PBE) results for a relaxed BaIn3Ag2 crystal.

abc: 5.851 7.503 7.503
angles: 101.45 90.00 90.00
Element x y z (fractional)
In 0.750 0.060 0.060
In 0.250 0.541 0.912
In 0.250 0.912 0.541
In 0.750 0.088 0.459
Ag 0.000 0.220 0.780
Ba 0.750 0.671 0.671
Ag 0.500 0.780 0.220
In 0.250 0.940 0.940
In 0.750 0.459 0.088
Ag 0.500 0.220 0.780
Ag 0.000 0.780 0.220
Ba 0.250 0.329 0.329

The crystal system is orthorhombic. Its space-group type is No. 63.

***

Q.
DFT (PBE) results for a relaxed BaIn3Ag2 crystal.

abc: 4.718 9.622 11.508
angles: 105.13 90.00 104.19
Element x y z (fractional)
Ag 0.645 0.291 0.461
Ba 0.000 0.000 0.000
Ag 0.528 0.055 0.780
In 0.669 0.338 0.963
In 0.625 0.251 0.200
In 0.331 0.662 0.037
Ag 0.472 0.945 0.220
Ag 0.800 0.599 0.879
In 0.500 0.000 0.500
Ag 0.200 0.401 0.121
In 0.788 0.576 0.622
In 0.212 0.424 0.378
Ba 0.842 0.685 0.298
Ag 0.355 0.709 0.539
In 0.375 0.749 0.800
In 0.956 0.912 0.648
In 0.044 0.088 0.352
Ba 0.158 0.315 0.702

The crystal system is monoclinic. Its space-group type is No. 12.

***

Which structure wins on stability? Q wins.

***

P.
DFT (PBE) results for a relaxed Ba4InAg crystal.

abc: 7.265 7.265 7.265
angles: 60.00 60.00 60.00
Element x y z (fractional)
Ag 0.000 0.000 0.000
Ba 0.375 0.375 0.375
In 0.750 0.750 0.750
Ba 0.375 0.375 0.874
Ba 0.874 0.375 0.375
Ba 0.375 0.874 0.375

The crystal system is cubic. Its space-group type is No. 216.

***

Q.
DFT (PBE) results for a relaxed Ba4InAg crystal.

abc: 4.251 4.251 15.295
angles: 90.00 90.00 90.00
Element x y z (fractional)
In 0.000 0.000 0.000
Ba 0.500 0.500 0.134
Ag 0.500 0.500 0.500
Ba 0.000 0.000 0.373
Ba 0.500 0.500 0.866
Ba 0.000 0.000 0.627

The crystal system is tetragonal. Its space-group type is No. 123.

***

R.
DFT (PBE) results for a relaxed Ba4InAg crystal.

abc: 7.829 9.312 9.712
angles: 113.84 108.28 100.76
Element x y z (fractional)
Ag 0.750 0.000 0.001
Ba 0.213 0.308 0.363
Ba 0.984 0.756 0.116
Ba 0.016 0.244 0.884
In 0.385 0.635 0.270
In 0.615 0.365 0.730
Ba 0.368 0.640 0.884
Ba 0.787 0.692 0.637
Ba 0.650 0.056 0.363
Ag 0.250 0.000 0.999
Ba 0.632 0.360 0.116
Ba 0.350 0.944 0.637

The crystal system is monoclinic. Its space-group type is No. 15.

***

Which structure wins on stability? Q wins.